# 1
# Cr2GaSbO SCAN PBEsol geometry
data_Cr2GaSbO
_chemical_formula_sum 'Cr2 Ga1 Sb1 O1'
_symmetry_space_group_name_H-M 'P 4/m m m'
_symmetry_Int_Tables_number 123
_symmetry_space_group_name_Hall '-P 4 2'
_cell_length_a 5.127
_cell_length_b 5.127
_cell_length_c 4.084
_cell_angle_alpha 90.00
_cell_angle_beta 90.00
_cell_angle_gamma 90.00
loop_
_atom_site_label
_atom_site_fract_x
_atom_site_fract_y
_atom_site_fract_z
Cr1 0.000 0.500 0.000
Ga1 0.000 0.000 0.500
Sb1 0.500 0.500 0.000
O1 0.500 0.500 0.500
# Formation energy (no corrections) in meV per atom: 511
# Magnetization in Bohr magnetons per cell: 9.110

# 2
# CrGa2SbOs SCAN PBEsol geometry
data_CrGa2SbOs
_chemical_formula_sum 'Cr1 Ga2 Sb1 Os1'
_symmetry_space_group_name_H-M 'P 4/m m m'
_symmetry_Int_Tables_number 123
_symmetry_space_group_name_Hall '-P 4 2'
_cell_length_a 4.979
_cell_length_b 4.979
_cell_length_c 4.863
_cell_angle_alpha 90.00
_cell_angle_beta 90.00
_cell_angle_gamma 90.00
loop_
_atom_site_label
_atom_site_fract_x
_atom_site_fract_y
_atom_site_fract_z
Cr1 0.000 0.000 0.000
Ga1 0.000 0.500 0.500
Sb1 0.000 0.000 0.500
Os1 0.500 0.500 0.000
# Formation energy (no corrections) in meV per atom: 1851
# Magnetization in Bohr magnetons per cell: 6.362

# 3
# CrGa3P SCAN PBEsol geometry
data_CrGa3P
_chemical_formula_sum 'Cr1 Ga3 P1'
_symmetry_space_group_name_H-M 'P m -3 m'
_symmetry_Int_Tables_number 221
_symmetry_space_group_name_Hall '-P 4 2 3'
_cell_length_a 4.693
_cell_length_b 4.693
_cell_length_c 4.693
_cell_angle_alpha 90.00
_cell_angle_beta 90.00
_cell_angle_gamma 90.00
loop_
_atom_site_label
_atom_site_fract_x
_atom_site_fract_y
_atom_site_fract_z
Cr1 0.000 0.000 0.000
Ga1 0.000 0.500 0.500
P1 0.500 0.500 0.500
# Energy relative to the elements in kJ/mol of formula units: 305.9
# Magnetization in Bohr magnetons per cell: 4.630

# 4
# CrGa2PW SCAN PBEsol geometry
data_CrGa2PW
_chemical_formula_sum 'Cr1 Ga2 P1 W1'
_symmetry_space_group_name_H-M 'P 4/m m m'
_symmetry_Int_Tables_number 123
_symmetry_space_group_name_Hall '-P 4 2'
_cell_length_a 4.860
_cell_length_b 4.860
_cell_length_c 4.489
_cell_angle_alpha 90.00
_cell_angle_beta 90.00
_cell_angle_gamma 90.00
loop_
_atom_site_label
_atom_site_fract_x
_atom_site_fract_y
_atom_site_fract_z
Cr1 0.000 0.000 0.000
Ga1 0.000 0.500 0.500
P1 0.500 0.500 0.000
W1 0.000 0.000 0.500
# Energy relative to the elements in kJ/mol of formula units: 610.8
# Magnetization in Bohr magnetons per cell: 1.270

# 5
# ZrCrGaP2 SCAN PBEsol geometry
data_ZrCrGaP2
_chemical_formula_sum 'Zr1 Cr1 Ga1 P2'
_symmetry_space_group_name_H-M 'P 4/m m m'
_symmetry_Int_Tables_number 123
_symmetry_space_group_name_Hall '-P 4 2'
_cell_length_a 4.584
_cell_length_b 4.584
_cell_length_c 4.941
_cell_angle_alpha 90.00
_cell_angle_beta 90.00
_cell_angle_gamma 90.00
loop_
_atom_site_label
_atom_site_fract_x
_atom_site_fract_y
_atom_site_fract_z
Zr1 0.000 0.000 0.000
Cr1 0.500 0.500 0.000
Ga1 0.000 0.000 0.500
P1 0.000 0.500 0.500
# Energy relative to the elements in kJ/mol of formula units: 436.8
# Magnetization in Bohr magnetons per cell: 4.753

# 6
# ZrCr2GaPd SCAN PBEsol geometry
data_ZrCr2GaPd
_chemical_formula_sum 'Zr1 Cr2 Ga1 Pd1'
_symmetry_space_group_name_H-M 'P 4/m m m'
_symmetry_Int_Tables_number 123
_symmetry_space_group_name_Hall '-P 4 2'
_cell_length_a 4.700
_cell_length_b 4.700
_cell_length_c 4.780
_cell_angle_alpha 90.00
_cell_angle_beta 90.00
_cell_angle_gamma 90.00
loop_
_atom_site_label
_atom_site_fract_x
_atom_site_fract_y
_atom_site_fract_z
Zr1 0.000 0.000 0.000
Cr1 0.000 0.500 0.000
Ga1 0.500 0.500 0.500
Pd1 0.000 0.000 0.500
# Energy relative to the elements in kJ/mol of formula units: 627.1
# Magnetization in Bohr magnetons per cell: 6.904

# 7
# RbCrGa2Sb SCAN PBEsol geometry
data_RbCrGa2Sb
_chemical_formula_sum 'Rb1 Cr1 Ga2 Sb1'
_symmetry_space_group_name_H-M 'P 4/m m m'
_symmetry_Int_Tables_number 123
_symmetry_space_group_name_Hall '-P 4 2'
_cell_length_a 5.584
_cell_length_b 5.584
_cell_length_c 5.156
_cell_angle_alpha 90.00
_cell_angle_beta 90.00
_cell_angle_gamma 90.00
loop_
_atom_site_label
_atom_site_fract_x
_atom_site_fract_y
_atom_site_fract_z
Rb1 0.000 0.000 0.000
Cr1 0.500 0.500 0.000
Ga1 0.000 0.500 0.500
Sb1 0.500 0.500 0.500
# Formation energy (no corrections) in meV per atom: 440
# Magnetization in Bohr magnetons per cell: 4.528

# 8
# CrGaRh2 SCAN PBEsol geometry
data_CrGaRh2
_chemical_formula_sum 'Cr4 Ga4 Rh8'
_symmetry_space_group_name_H-M 'F m -3 m'
_symmetry_Int_Tables_number 225
_symmetry_space_group_name_Hall '-F 4 2 3'
_cell_length_a 5.963
_cell_length_b 5.963
_cell_length_c 5.963
_cell_angle_alpha 90.00
_cell_angle_beta 90.00
_cell_angle_gamma 90.00
loop_
_atom_site_label
_atom_site_fract_x
_atom_site_fract_y
_atom_site_fract_z
Cr1 0.000 0.000 0.000
Ga1 0.000 0.000 0.500
Rh1 0.250 0.250 0.250
# Energy relative to the elements in kJ/mol of formula units: -210.7
# Magnetization in Bohr magnetons per cell: 12.280

# 9
# TaCrGaRu2 SCAN PBEsol geometry
data_TaCrGaRu2
_chemical_formula_sum 'Ta1 Cr1 Ga1 Ru2'
_symmetry_space_group_name_H-M 'P 4/m m m'
_symmetry_Int_Tables_number 123
_symmetry_space_group_name_Hall '-P 4 2'
_cell_length_a 4.414
_cell_length_b 4.414
_cell_length_c 4.614
_cell_angle_alpha 90.00
_cell_angle_beta 90.00
_cell_angle_gamma 90.00
loop_
_atom_site_label
_atom_site_fract_x
_atom_site_fract_y
_atom_site_fract_z
Ta1 0.000 0.000 0.000
Cr1 0.500 0.500 0.000
Ga1 0.000 0.000 0.500
Ru1 0.000 0.500 0.500
# Energy relative to the elements in kJ/mol of formula units: 611.8
# Magnetization in Bohr magnetons per cell: 2.741

# 10
# Cr3GaSb SCAN PBEsol geometry
data_Cr3GaSb
_chemical_formula_sum 'Cr3 Ga1 Sb1'
_symmetry_space_group_name_H-M 'P m -3 m'
_symmetry_Int_Tables_number 221
_symmetry_space_group_name_Hall '-P 4 2 3'
_cell_length_a 4.607
_cell_length_b 4.607
_cell_length_c 4.607
_cell_angle_alpha 90.00
_cell_angle_beta 90.00
_cell_angle_gamma 90.00
loop_
_atom_site_label
_atom_site_fract_x
_atom_site_fract_y
_atom_site_fract_z
Cr1 0.000 0.000 0.500
Ga1 0.000 0.000 0.000
Sb1 0.500 0.500 0.500
# Formation energy (no corrections) in meV per atom: 640
# Magnetization in Bohr magnetons per cell: 10.644

# 11
# CrGaSbTe2 SCAN PBEsol geometry
data_CrGaSbTe2
_chemical_formula_sum 'Cr1 Ga1 Sb1 Te2'
_symmetry_space_group_name_H-M 'P 4/m m m'
_symmetry_Int_Tables_number 123
_symmetry_space_group_name_Hall '-P 4 2'
_cell_length_a 5.315
_cell_length_b 5.315
_cell_length_c 5.121
_cell_angle_alpha 90.00
_cell_angle_beta 90.00
_cell_angle_gamma 90.00
loop_
_atom_site_label
_atom_site_fract_x
_atom_site_fract_y
_atom_site_fract_z
Cr1 0.000 0.000 0.000
Ga1 0.500 0.500 0.500
Sb1 0.500 0.500 0.000
Te1 0.000 0.500 0.500
# Formation energy (no corrections) in meV per atom: 661
# Magnetization in Bohr magnetons per cell: 4.166

# 12
# ZrSc2CrGa SCAN PBEsol geometry
data_ZrSc2CrGa
_chemical_formula_sum 'Zr1 Sc2 Cr1 Ga1'
_symmetry_space_group_name_H-M 'P 4/m m m'
_symmetry_Int_Tables_number 123
_symmetry_space_group_name_Hall '-P 4 2'
_cell_length_a 5.075
_cell_length_b 5.075
_cell_length_c 4.504
_cell_angle_alpha 90.00
_cell_angle_beta 90.00
_cell_angle_gamma 90.00
loop_
_atom_site_label
_atom_site_fract_x
_atom_site_fract_y
_atom_site_fract_z
Zr1 0.000 0.000 0.000
Sc1 0.000 0.500 0.000
Cr1 0.000 0.000 0.500
Ga1 0.500 0.500 0.500
# Energy relative to the elements in kJ/mol of formula units: 483.1
# Magnetization in Bohr magnetons per cell: 3.124

# 13
# TlCrGaSi2 SCAN PBEsol geometry
data_TlCrGaSi2
_chemical_formula_sum 'Tl1 Cr1 Ga1 Si2'
_symmetry_space_group_name_H-M 'P 4/m m m'
_symmetry_Int_Tables_number 123
_symmetry_space_group_name_Hall '-P 4 2'
_cell_length_a 5.096
_cell_length_b 5.096
_cell_length_c 5.174
_cell_angle_alpha 90.00
_cell_angle_beta 90.00
_cell_angle_gamma 90.00
loop_
_atom_site_label
_atom_site_fract_x
_atom_site_fract_y
_atom_site_fract_z
Tl1 0.000 0.000 0.000
Cr1 0.500 0.500 0.500
Ga1 0.000 0.000 0.500
Si1 0.000 0.500 0.000
# Formation energy (no corrections) in meV per atom: 1485
# Magnetization in Bohr magnetons per cell: 4.393